# 1
Compound: AgTePb
Source: OQMD
Functional: PBE
Structure: optimized geometry

Lattice parameters (Å, degrees): 5.1393 5.1393 5.1393 60.00 60.00 60.00
Closest atoms and distances in Å follow each position.
Sites, in units of the cell vectors:
Pb1 0.7500 0.7500 0.7500  4 Te 3.15
Ag1 0.2500 0.2500 0.2500  4 Te 3.15
Te1 0.0000 0.0000 0.0000  4 Ag 3.15, 4 Pb 3.15

Calculated values
* space-group type: F-43m (216)
* VASP energy: -3.115 eV per atom

***

# 2
Compound: In2Re2O5
Source: OQMD
Functional: PBE
Structure: optimized geometry

Lattice parameters (Å, degrees): 9.6126 3.4399 3.4399 90.00 90.00 90.00
Closest atoms and distances in Å follow each position.
Sites, in units of the cell vectors:
O1 0.1222 0.5000 0.0000  2 Re 2.08, 2 In 2.21
O2 0.8778 0.5000 0.0000  2 Re 2.08, 2 In 2.21
In1 0.7329 0.5000 0.5000  5 O 2.21-2.24
Re1 0.0000 0.0000 0.0000  8 O 2.08
In2 0.2671 0.5000 0.5000  5 O 2.21-2.24
O3 0.8778 0.0000 0.5000  2 Re 2.08, 2 In 2.21
Re2 0.5000 0.0000 0.0000  4 O 2.43
O4 0.1222 0.0000 0.5000  2 Re 2.08, 2 In 2.21
O5 0.5000 0.5000 0.5000  2 In 2.24, 4 Re 2.43

Calculated values
* M_tot: 3.4 μB/cell
* space-group type: P4/mmm (123)
* E above lowest polymorph: 398 meV per atom
* VASP energy: -6.536 eV per atom

***

# 3
Compound: TaCuPdPb
Source: OQMD
Functional: PBE
Structure: optimized geometry

Lattice parameters (Å, degrees): 4.6598 4.6598 4.6598 60.00 60.00 60.00
Closest atoms and distances in Å follow each position.
Sites, in units of the cell vectors:
Pb1 0.0000 0.0000 0.0000  4 Ta 2.85, 4 Cu 2.85
Cu1 0.7500 0.7500 0.7500  4 Pd 2.85, 4 Pb 2.85
Pd1 0.5000 0.5000 0.5000  4 Ta 2.85, 4 Cu 2.85
Ta1 0.2500 0.2500 0.2500  4 Pd 2.85, 4 Pb 2.85

Calculated values
* M_tot: 0.0 μB/cell
* space-group type: F-43m (216)
* E above lowest polymorph: 17 meV per atom
* VASP energy: -5.797 eV per atom